Below is crystalline SmThInGa at its relaxed geometry, with properties calculated at the PBE level.

a b c (Å): 5.3441 5.3441 5.3441
angles (deg): 60.00 60.00 60.00
Fractional positions:
Ga 0.5000 0.5000 0.5000
Sm 0.2500 0.2500 0.2500
Th 0.7500 0.7500 0.7500
In 0.0000 0.0000 0.0000

Summary:
Formation enthalpy at 0 K, eV per formula unit: -1.4

=====

Below is crystalline LaFeIr3 at its relaxed geometry, with properties calculated at the PBE level.

a b c (Å): 4.6156 4.6156 4.6156
angles (deg): 90.00 90.00 90.00
Each line ends with the local moment (μB).
Fractional positions:
Ir 0.0000 0.5000 0.0000  0.53
Ir 0.0000 0.0000 0.5000  0.72
Ir 0.5000 0.0000 0.0000  0.30
Fe 0.0000 0.0000 0.0000  2.33
La 0.5000 0.5000 0.5000  -0.03

Summary:
Excess energy over the best structure of this formula in the dataset, kJ/mol of atoms: 0.0
Formation enthalpy at 0 K, eV per formula unit: 1.7

=====

Below is crystalline Na2CdI5 at its relaxed geometry, with properties calculated at the PBE level.

a b c (Å): 6.3866 8.4609 13.1817
angles (deg): 90.00 90.00 112.17
Fractional positions:
Na 0.8238 0.6476 0.4222
Na 0.8238 0.6476 0.0778
Na 0.1762 0.3524 0.5778
Na 0.1762 0.3524 0.9222
Cd 0.8050 0.6100 0.7500
Cd 0.1950 0.3900 0.2500
I 0.9745 0.9490 0.8783
I 0.9745 0.9490 0.6217
I 0.3176 0.6352 0.4121
I 0.3176 0.6352 0.0879
I 0.6879 0.3758 0.2500
I 0.3121 0.6242 0.7500
I 0.6824 0.3648 0.5879
I 0.6824 0.3648 0.9121
I 0.0255 0.0510 0.1217
I 0.0255 0.0510 0.3783

Summary:
Formation energy (no corrections), meV per atom: -770

=====

Below is crystalline BC3 at its relaxed geometry, with properties calculated at the PBE level.

a b c (Å): 6.0678 6.0678 3.5775
angles (deg): 90.00 90.00 145.72
Fractional positions:
B 0.8333 0.6667 0.2500
B 0.3333 0.6667 0.0024
B 0.8333 0.1667 0.4976
C 0.1741 0.8405 0.5074
C 0.4925 0.4929 0.5074
C 0.1781 0.3219 0.2500
C 0.9894 0.5106 0.7500
C 0.4886 0.0114 0.2500
C 0.6595 0.3259 0.9926
C 0.3333 0.1667 0.7500
C 0.0071 0.0075 0.9926
C 0.6773 0.8227 0.7500

Summary:
Excess energy over the best structure of this formula in the dataset, kJ/mol of atoms: 2.4
Formation enthalpy at 0 K, eV per formula unit: 1.1

=====

Below is crystalline AsIr2SeBr at its relaxed geometry, with properties calculated at the PBE level.

a b c (Å): 4.5684 5.4931 4.5684
angles (deg): 90.00 90.00 90.00
Fractional positions:
As 0.5000 0.5000 0.5000
Ir 0.0000 0.0000 0.5000
Ir 0.5000 0.0000 0.0000
Se 0.0000 0.0000 0.0000
Br 0.0000 0.5000 0.0000

Summary:
Formation energy (no corrections), meV per atom: 1310

=====

Below is crystalline Na2H5Pd at its relaxed geometry, with properties calculated at the PBE level.

a b c (Å): 3.8453 5.6410 9.5183
angles (deg): 90.00 90.00 109.93
Fractional positions:
Na 0.8550 0.7100 0.4163
Na 0.8550 0.7100 0.0837
Na 0.1450 0.2900 0.5837
Na 0.1450 0.2900 0.9163
H 0.9452 0.8904 0.8691
H 0.9452 0.8904 0.6309
H 0.2736 0.5472 0.3756
H 0.2736 0.5472 0.1244
H 0.6646 0.3291 0.2500
H 0.3354 0.6709 0.7500
H 0.7264 0.4528 0.6244
H 0.7264 0.4528 0.8756
H 0.0548 0.1096 0.1309
H 0.0548 0.1096 0.3691
Pd 0.8343 0.6685 0.7500
Pd 0.1657 0.3315 0.2500

Summary:
Excess energy over the best structure of this formula in the dataset, kJ/mol of atoms: 6.1

=====

| no. | magnetization (μB/cell) | electronic total energy (eV per atom) |
| --- | --- | --- |
| 1 | 0.00 | -4.835 |
| 2 | 3.85 | -7.652 |
| 3 | 0.00 | -2.183 |
| 4 | 0.00 | -8.322 |
| 5 | 0.00 | -4.196 |
| 6 | 0.00 | -3.227 |